Compound: Sc4PtCl
Source: Alexandria via LeMat-Bulk
Functional: GGA-PBE
Structure: relaxed

Summary:
uncorrected formation energy: 0.226 eV/atom
V: 22.0 A^3/atom
final energy: -127.43 eV per cell
total moment: 0.01 μB per cell

Lattice parameters (Å, degrees): 8.0883 8.0883 8.0883 90.00 90.00 90.00
Space group F-43m (No. 216)
Unique sites:
Sc  0.1234  0.1234  0.3766
Pt  0.2500  0.2500  0.7500
Cl  0.0000  0.0000  0.0000



Compound: SrHgW
Source: Alexandria via LeMat-Bulk
Functional: GGA-PBE
Structure: relaxed

Summary:
V: 22.8 A^3/atom
final energy: -11.97 eV per cell
energy relative to the elements: 22.81 kcal/mol of atoms
total moment: 0.00 μB per cell
energy relative to the lowest polymorph listed for this composition: 169 meV/atom

Lattice parameters (Å, degrees): 3.1476 3.1476 7.9874 90.00 90.00 120.00
Space group P3m1 (No. 156)
Unique sites:
Sr  0.0000  0.0000  0.0000
Hg  0.3333  0.6667  0.6339
W  0.6667  0.3333  0.3338



Compound: Be2ReSnMo
Source: Alexandria via LeMat-Bulk
Functional: GGA-PBE
Structure: relaxed

Summary:
V: 18.1 A^3/atom
final energy: -24.73 eV per cell
energy relative to the elements: 46.12 kcal/mol of atoms
total moment: 0.00 μB per cell

Lattice parameters (Å, degrees): 4.1885 4.1885 5.1504 90.00 90.00 90.00
Space group P4/mmm (No. 123)
Unique sites:
Be  0.0000  0.5000  0.0000
Re  0.0000  0.0000  0.5000
Sn  0.0000  0.0000  0.0000
Mo  0.5000  0.5000  0.5000



Compound: Mn2NiHgBi
Source: Alexandria via LeMat-Bulk
Functional: GGA-PBE
Structure: relaxed

Summary:
V: 24.0 A^3/atom
final energy: -23.53 eV per cell
energy relative to the elements: 22.02 kcal/mol of atoms
total moment: 8.56 μB per cell

Lattice parameters (Å, degrees): 4.9940 4.9940 4.8053 90.00 90.00 90.00
Space group P4/mmm (No. 123)
Unique sites:
Mn  0.0000  0.5000  0.0000
Ni  0.0000  0.0000  0.5000
Hg  0.0000  0.0000  0.0000
Bi  0.5000  0.5000  0.5000



Compound: CeThSb2Rh5
Source: Alexandria via LeMat-Bulk
Functional: GGA-PBE
Structure: relaxed

Summary:
uncorrected formation energy: -0.611 eV/atom
V: 19.7 A^3/atom
final energy: -63.86 eV per cell
total moment: 0.00 μB per cell

Lattice parameters (Å, degrees): 4.3805 4.3805 9.2337 90.00 90.00 90.00
Space group P4/mmm (No. 123)
Unique sites:
Ce  0.0000  0.0000  0.0000
Th  0.0000  0.0000  0.5000
Sb  0.5000  0.5000  0.3485
Rh  0.0000  0.5000  0.2098
Rh  0.5000  0.5000  0.0000



Compound: CaLa5Cu6
Source: Alexandria via LeMat-Bulk
Functional: GGA-PBE
Structure: relaxed

Summary:
V: 24.1 A^3/atom
final energy: -52.81 eV per cell
energy relative to the elements: -3.06 kcal/mol of atoms
total moment: 0.00 μB per cell

Lattice parameters (Å, degrees): 5.1697 7.2389 8.1611 90.00 108.45 90.00
Space group P2/m (No. 10)
Unique sites:
Ca  0.0000  0.0000  0.0000
La  0.0000  0.5000  0.0000
La  0.3303  0.5000  0.6643
La  0.3355  0.0000  0.6746
Cu  0.1716  0.2476  0.3368
Cu  0.5000  0.2575  0.0000



Compound: Cd6In16Hg7
Source: Alexandria via LeMat-Bulk
Functional: GGA-PBE
Structure: relaxed

Summary:
V: 27.5 A^3/atom
final energy: -197.19 eV per cell
energy relative to the elements: 1.69 kcal/mol of atoms
total moment: 0.00 μB per cell

Lattice parameters (Å, degrees): 14.7204 14.7204 14.7204 90.00 90.00 90.00
Space group Fm-3m (No. 225)
Unique sites:
Cd  0.0000  0.0000  0.1605
In  0.1198  0.1198  0.3802
In  0.1518  0.1518  0.1518
Hg  0.0000  0.0000  0.5000
Hg  0.0000  0.2500  0.2500



Compound: NbReNiPb2
Source: Alexandria via LeMat-Bulk
Functional: GGA-PBE
Structure: relaxed

Summary:
V: 21.9 A^3/atom
final energy: -28.80 eV per cell
energy relative to the elements: 31.90 kcal/mol of atoms
total moment: 1.07 μB per cell

Lattice parameters (Å, degrees): 4.8862 4.8862 4.5903 90.00 90.00 90.00
Space group P4/mmm (No. 123)
Unique sites:
Nb  0.0000  0.0000  0.0000
Re  0.5000  0.5000  0.0000
Ni  0.5000  0.5000  0.5000
Pb  0.0000  0.5000  0.5000